(1)
Here is a crystal of Be3Cl relaxed with PBEsol from Alexandria. Energies are from SCAN.

The value obtained for the energy above the most stable polymorph in this dataset is 0 meV/atom. As for the spin magnetization: 0.0 μB/f.u. The total energy comes out at -4.5646 eV/atom. For the uncorrected formation energy, the calculation gives 0.70 eV per atom.

The space group is R-3m (No. 166, hexagonal axes) and the conventional cell measures 7.4708, 7.4708 and 2.8956 Å, with angles of 90.00, 90.00 and 120.00 degrees. The inequivalent atoms are Be at (0.0000, 0.5000, 0.0000) and Cl at (0.0000, 0.0000, 0.0000).

(2)
Here is a crystal of BeCo2Cl relaxed with PBEsol from Alexandria. Energies are from SCAN.

The value obtained for the energy above the most stable polymorph in this dataset is 341 meV/atom. As for the spin magnetization: 3.4 μB/f.u. The total energy comes out at -11.2007 eV/atom. For the uncorrected formation energy, the calculation gives 0.53 eV per atom.

The space group is Pmmm (No. 47) and the conventional cell measures 2.7125, 3.6984 and 4.3633 Å, with angles of 90.00, 90.00 and 90.00 degrees. The inequivalent atoms are Be at (0.0000, 0.0000, 0.0000), Co at (0.0000, 0.5000, 0.5000), Co at (0.5000, 0.5000, 0.0000) and Cl at (0.5000, 0.0000, 0.5000).

(3)
Here is a crystal of BeCo4Cl relaxed with PBEsol from Alexandria. Energies are from SCAN.

As for the spin magnetization: 7.6 μB/f.u. The total energy comes out at -12.8380 eV/atom. For the uncorrected formation energy, the calculation gives 0.75 eV per atom.

The space group is F-43m (No. 216) and the conventional cell measures 6.6330, 6.6330 and 6.6330 Å, with angles of 90.00, 90.00 and 90.00 degrees. The inequivalent atoms are Be at (0.0000, 0.0000, 0.0000), Co at (0.1254, 0.1254, 0.6254) and Cl at (0.2500, 0.2500, 0.2500).